Density functional theory data (GGA-PBE) for a relaxed structure of BaAsRu2.

The energy relative to the elements comes out at 2.80 eV/f.u.

Unit cell a=4.5891 b=4.5870 c=3.6353 alpha=90.00 beta=90.00 gamma=90.00
Closest atoms and distances in Å follow each position.
Sites, in units of the cell vectors:
Ba (0.0000, 0.5000, 0.5000)  8 Ru 2.93, 4 As 3.24
As (0.5000, 0.0000, 0.5000)  8 Ru 2.93, 4 Ba 3.24
Ru (0.5000, 0.5000, 0.0000)  4 As 2.93, 4 Ba 2.93, 4 Ru 3.24
Ru (0.0000, 0.0000, 0.0000)  4 Ba 2.93, 4 As 2.93, 4 Ru 3.24